Computed, not measured: crystalline YSi3Hg at its relaxed geometry at the PBE-GGA level of DFT.

POSCAR file:
```
YSi3Hg
1.0
5.0186 0.0000 0.0000
0.0000 5.0186 0.0000
0.0000 0.0000 5.0186
Y Si Hg
1 3 1
direct
0.0000 0.0000 0.0000
0.0000 0.5000 0.5000
0.5000 0.0000 0.5000
0.5000 0.5000 0.0000
0.5000 0.5000 0.5000
```

Properties
M_tot = 0.0 μB per formula unit
uncorrected formation energy = 4.14 eV/f.u.
distance to the lowest polymorph of the same formula = 0.0000 eV per atom

---

Computed, not measured: crystalline Pr2Ni2Br at its relaxed geometry at the PBE-GGA level of DFT.

POSCAR file:
```
Pr2Ni2Br
1.0
4.0642 0.0000 0.0000
-2.0321 3.5197 0.0000
0.0000 0.0000 25.4133
Pr Ni Br
6 6 3
direct
0.0000 0.0000 0.0730
0.0000 0.0000 0.9270
0.3333 0.6667 0.5937
0.3333 0.6667 0.7396
0.6667 0.3333 0.2604
0.6667 0.3333 0.4063
0.0000 0.0000 0.3330
0.0000 0.0000 0.6670
0.3333 0.6667 0.9996
0.3333 0.6667 0.3337
0.6667 0.3333 0.0004
0.6667 0.3333 0.6663
0.0000 0.0000 0.5000
0.3333 0.6667 0.1667
0.6667 0.3333 0.8333
```

Properties
M_tot = 0.0 μB per formula unit
uncorrected formation energy = -3.88 eV/f.u.

---

Computed, not measured: crystalline SrNd2Lu at its relaxed geometry at the PBE-GGA level of DFT.

POSCAR file:
```
SrNd2Lu
1.0
3.6504 0.0000 0.0000
-1.8252 3.1614 0.0000
0.0000 0.0000 39.1261
Sr Nd Lu
3 6 3
direct
0.0000 0.0000 0.0000
0.3333 0.6667 0.6667
0.6667 0.3333 0.3333
0.0000 0.0000 0.0944
0.0000 0.0000 0.9056
0.3333 0.6667 0.5723
0.3333 0.6667 0.7611
0.6667 0.3333 0.2389
0.6667 0.3333 0.4277
0.0000 0.0000 0.5000
0.3333 0.6667 0.1667
0.6667 0.3333 0.8333
```

Properties
formation energy from the elements = 0.197 eV per atom
M_tot = 0.0 μB per formula unit
distance to the lowest polymorph of the same formula = 0.0985 eV per atom

---

Computed, not measured: crystalline Li3AcSm2Se6 at its relaxed geometry at the PBE-GGA level of DFT.

POSCAR file:
```
Li3AcSm2Se6
1.0
3.6836 -6.3979 0.0000
3.6836 6.3979 0.0000
-2.4152 0.0000 6.5412
Li Ac Sm Se
3 1 2 6
direct
0.0000 0.0000 0.0000
0.3246 0.6754 0.0000
0.6754 0.3246 0.0000
0.5000 0.5000 0.5000
0.1661 0.8339 0.5000
0.8339 0.1661 0.5000
0.0676 0.4156 0.2416
0.2375 0.2375 0.7616
0.4156 0.0676 0.2416
0.5844 0.9324 0.7584
0.7625 0.7625 0.2384
0.9324 0.5844 0.7584
```

Properties
M_tot = 0.0 μB per formula unit
uncorrected formation energy = -20.08 eV/f.u.

---

Look up the M_tot of the second one.
0.0 μB per formula unit